[1]
Entry from the Alexandria database: a relaxed KCd2As crystal (PBE).

Cell: 3.347 5.548 5.591 Å, 90.00 90.00 90.00°
Atoms (fractional coordinates):
K: 0.500 0.000 0.500
As: 0.000 0.500 0.500
Cd: 0.000 0.000 0.000
Cd: 0.500 0.500 0.000

Computed properties:
energy of formation from the pure elements: 0.082 eV/atom
total magnetic moment: 0.000 μB/atom

---

[2]
Entry from the Alexandria database: a relaxed BaCa2Fe crystal (PBE).

Cell: 7.018 7.018 7.093 Å, 54.70 54.70 32.41°
Site moments in Bohr magnetons follow the coordinates.
Atoms (fractional coordinates):
Ca: 0.826 0.826 0.616  -0.06
Ca: 0.017 0.017 0.939  -0.06
Ba: 0.190 0.190 0.252  -0.09
Fe: 0.467 0.467 0.693  2.60

Computed properties:
energy above the lowest structure with this stoichiometry: 21.8 kJ/mol of formula units
energy of formation from the pure elements: 0.441 eV/atom
total magnetic moment: 0.502 μB/atom

---

[3]
Entry from the Alexandria database: a relaxed Cs2InReBr6 crystal (PBE).

Cell: 8.053 8.053 8.053 Å, 60.00 60.00 90.00°
Site moments in Bohr magnetons follow the coordinates.
Atoms (fractional coordinates):
Br: 0.775 0.225 0.000  0.03
Br: 0.226 0.226 0.549  0.02
Br: 0.775 0.775 0.000  0.02
Br: 0.225 0.775 0.000  0.03
Br: 0.225 0.225 0.000  0.02
Br: 0.774 0.774 0.451  0.02
In: 0.500 0.500 0.000  -0.01
Re: 0.000 0.000 0.000  1.55
Cs: 0.750 0.250 0.500  0.00
Cs: 0.250 0.750 0.500  0.00

Computed properties:
total magnetic moment: 0.200 μB/atom
formation energy from raw total energies: -0.87 eV per atom

---

[4]
Entry from the Alexandria database: a relaxed Ba2TcF2 crystal (PBE).

Cell: 8.105 8.105 3.418 Å, 90.00 90.00 90.00°
Site moments in Bohr magnetons follow the coordinates.
Atoms (fractional coordinates):
F: 0.380 0.880 0.000  0.02
F: 0.120 0.380 0.000  0.02
F: 0.880 0.620 0.000  0.02
F: 0.620 0.120 0.000  0.02
Ba: 0.818 0.318 0.500  -0.02
Ba: 0.182 0.682 0.500  -0.02
Ba: 0.318 0.182 0.500  -0.03
Ba: 0.682 0.818 0.500  -0.03
Tc: 0.000 0.000 0.000  2.29
Tc: 0.500 0.500 0.000  2.29

Computed properties:
total magnetic moment: 0.542 μB/atom
formation energy from raw total energies: -1.38 eV per atom

---

[5]
Entry from the Alexandria database: a relaxed Be2PbI6 crystal (PBE).

Cell: 7.157 10.942 10.942 Å, 81.92 112.84 112.84°
Atoms (fractional coordinates):
Be: 0.271 0.797 0.634
Be: 0.771 0.634 0.797
Be: 0.229 0.366 0.203
Be: 0.729 0.203 0.366
I: 0.072 0.203 0.031
I: 0.965 0.399 0.275
I: 0.940 0.147 0.579
I: 0.572 0.031 0.203
I: 0.035 0.601 0.725
I: 0.440 0.579 0.147
I: 0.060 0.853 0.421
I: 0.465 0.275 0.399
I: 0.535 0.725 0.601
I: 0.428 0.969 0.797
I: 0.928 0.797 0.969
I: 0.560 0.421 0.853
Pb: 0.750 0.248 0.752
Pb: 0.250 0.752 0.248

Computed properties:
total magnetic moment: 0.000 μB/atom
formation energy from raw total energies: -0.54 eV per atom

---

[6]
Entry from the Alexandria database: a relaxed HoEr3Te4 crystal (PBE).

Cell: 8.206 7.849 9.247 Å, 90.00 90.00 90.00°
Site moments in Bohr magnetons follow the coordinates.
Atoms (fractional coordinates):
Er: 0.961 0.711 0.200  0.32
Er: 0.961 0.711 0.800  0.32
Er: 0.461 0.289 0.300  0.32
Er: 0.594 0.842 0.000  0.23
Er: 0.094 0.158 0.500  0.23
Er: 0.461 0.289 0.700  0.32
Te: 0.609 0.645 0.276  0.00
Te: 0.720 0.154 0.500  0.01
Te: 0.609 0.645 0.724  0.00
Te: 0.109 0.355 0.224  0.00
Te: 0.220 0.846 0.000  0.01
Te: 0.602 0.224 0.000  0.00
Te: 0.102 0.776 0.500  0.00
Te: 0.109 0.355 0.776  0.00
Ho: 0.459 0.882 0.500  0.31
Ho: 0.959 0.118 0.000  0.31

Computed properties:
energy above the lowest structure with this stoichiometry: 230.2 kJ/mol of formula units
total magnetic moment: 0.255 μB/atom
formation energy from raw total energies: -0.92 eV per atom

---

[7]
Entry from the Alexandria database: a relaxed ZnCr2Rh crystal (PBE).

Cell: 3.686 3.709 3.987 Å, 90.00 90.00 90.00°
Site moments in Bohr magnetons follow the coordinates.
Atoms (fractional coordinates):
Zn: 0.000 0.500 0.500  0.00
Rh: 0.500 0.000 0.500  0.00
Cr: 0.000 0.000 0.000  -2.69
Cr: 0.500 0.500 0.000  2.71

Computed properties:
energy of formation from the pure elements: -0.050 eV/atom
total magnetic moment: 0.007 μB/atom

---

[8]
Entry from the Alexandria database: a relaxed BeH3Pt crystal (PBE).

Cell: 3.250 3.250 3.250 Å, 90.00 90.00 90.00°
Atoms (fractional coordinates):
H: 0.500 0.000 0.000
H: 0.000 0.000 0.500
H: 0.000 0.500 0.000
Be: 0.000 0.000 0.000
Pt: 0.500 0.500 0.500

Computed properties:
energy above the lowest structure with this stoichiometry: 123.3 kJ/mol of formula units
total magnetic moment: 0.000 μB/atom

---

no.,calculated volume (Å³ per cell),total DFT energy (no corrections) (eV for the cell shown)
1,104,-7.25
2,150,-12.62
3,369,-35.63
4,225,-49.68
5,728,-50.56
6,596,-76.40
7,55,-28.07
8,34,-16.41